The following is a GGA-PBE calculation of a relaxed structure of NbInCuTe, from Alexandria via LeMat-Bulk.

Properties
- Symmetry: P4mm (99)
- Theoretical density: 8252 kg/m3
- Formation energy without anion corrections: 0.024 eV/atom
- V: 80 Å³/cell
- Relative energy among the computed polymorphs: 32 meV per atom

Cell: 3.5823 3.5818 6.2558 Å, 90.00 90.00 90.00°
Fractional coordinates of all 4 atoms:
1 Cu 0.5000 0.5000 0.6046
2 In 0.0000 0.0000 0.3922
3 Nb 0.0000 0.0000 0.8470
4 Te 0.5000 0.5000 0.0560